(1)
LiYW2, optimized geometry, DFT PBE; formation energy = 802 meV/atom; density of states at the Fermi level = 1.5 states/eV/f.u.; polymorph energy (0 for the lowest one) = 0.4209 eV/atom; volume = 19.088 A^3/atom
1.0
-1.920 1.920 10.359
1.920 -1.920 10.359
1.920 1.920 -10.359
Li Y W
2 2 4
Direct
0.000 0.000 0.000 Li
0.750 0.250 0.500 Li
0.250 0.750 0.500 Y
0.500 0.500 0.000 Y
0.124 0.125 0.499 W
0.375 0.876 0.001 W
0.626 0.625 0.501 W
0.875 0.374 0.999 W

---

(2)
LiYW2, optimized geometry, DFT PBE; formation energy = 381 meV/atom; density of states at the Fermi level = 4.6 states/eV/f.u.; polymorph energy (0 for the lowest one) = 0.0000 eV/atom; volume = 19.014 A^3/atom
1.0
3.314 0.000 0.000
0.000 3.314 0.000
0.000 0.000 6.926
Li Y W
1 1 2
Direct
0.000 0.000 0.000 Li
0.500 0.500 0.696 Y
0.000 0.000 0.403 W
0.500 0.500 0.221 W

---

(3)
LiYW2, optimized geometry, DFT PBE; formation energy = 826 meV/atom; density of states at the Fermi level = 6.0 states/eV/f.u.; polymorph energy (0 for the lowest one) = 0.4448 eV/atom; volume = 18.517 A^3/atom
1.0
1.425 0.823 10.530
-1.425 0.823 10.530
0.000 -1.645 10.530
Li Y W
1 1 2
Direct
0.000 0.000 0.000 Li
0.500 0.500 0.500 Y
0.255 0.255 0.255 W
0.745 0.745 0.745 W

---

(4)
LiY4W, optimized geometry, DFT PBE; formation energy = 1006 meV/atom; density of states at the Fermi level = 7.0 states/eV/f.u.; volume = 27.611 A^3/atom
1.0
0.000 4.359 4.359
4.359 0.000 4.359
4.359 4.359 0.000
Li Y W
1 4 1
Direct
0.000 0.000 0.000 Li
0.377 0.377 0.377 Y
0.377 0.377 0.869 Y
0.377 0.869 0.377 Y
0.869 0.377 0.377 Y
0.750 0.750 0.750 W

---

(5)
LiY3W, optimized geometry, DFT PBE; formation energy = 564 meV/atom; density of states at the Fermi level = 7.7 states/eV/f.u.; polymorph energy (0 for the lowest one) = 0.0000 eV/atom; volume = 33.196 A^3/atom
1.0
5.496 0.000 0.000
0.000 5.496 0.000
0.000 0.000 5.496
Li Y W
1 3 1
Direct
0.000 0.000 0.000 Li
0.000 0.500 0.500 Y
0.500 0.000 0.500 Y
0.500 0.500 0.000 Y
0.500 0.500 0.500 W

---

(6)
LiYW2, optimized geometry, DFT PBE; formation energy = 677 meV/atom; density of states at the Fermi level = 2.3 states/eV/f.u.; polymorph energy (0 for the lowest one) = 0.2958 eV/atom; volume = 18.802 A^3/atom
1.0
2.749 0.000 0.000
0.000 5.034 0.000
0.000 0.000 5.434
Li Y W
1 1 2
Direct
0.000 0.000 0.000 Li
0.000 0.000 0.500 Y
0.500 0.500 0.258 W
0.500 0.500 0.742 W